LiGa2Pt2 after structural relaxation. Source: Alexandria via LeMat-Bulk, functional GGA-PBE.

Cell lengths 4.3187, 4.3187, 5.1351 Å; angles 90.00, 90.00, 120.00 degrees
With the nearest neighbours (Å) after each atom.
Space group P-3m1 (No. 164)
One atom of each set of equivalent atoms:
1 Li 0.0000 0.0000 0.0000 x1  6 Ga 2.69, 6 Pt 2.95
2 Ga 0.3333 0.6667 0.1974 x2  5 Pt 2.55-2.58, 3 Li 2.69
3 Pt 0.3333 0.6667 0.6942 x2  5 Ga 2.55-2.58

Properties
DFT formation energy = -0.59 eV per atom
Excess energy over the best structure of this formula in the dataset = 48 kJ/mol of formula units


Tl2RhBr after structural relaxation. Source: Alexandria via LeMat-Bulk, functional GGA-PBE.

Cell lengths 4.5012, 4.5012, 9.6324 Å; angles 90.00, 90.00, 90.00 degrees
With the nearest neighbours (Å) after each atom.
Space group I4/mmm (No. 139)
One atom of each set of equivalent atoms:
1 Tl 0.0000 0.5000 0.2500 x4  4 Tl 3.18, 4 Br 3.30, 4 Rh 3.30
2 Rh 0.0000 0.0000 0.0000 x2  4 Br 3.18, 8 Tl 3.30
3 Br 0.0000 0.0000 0.5000 x2  4 Rh 3.18, 8 Tl 3.30

Properties
Energy relative to the elements, uncorrected = 0.3182 eV/atom
Excess energy over the best structure of this formula in the dataset = 150 kJ/mol of formula units


Er5MgSc2 after structural relaxation. Source: Alexandria via LeMat-Bulk, functional GGA-PBE.

Cell lengths 5.0222, 11.0343, 16.5828 Å; angles 90.00, 90.00, 90.00 degrees
With the nearest neighbours (Å) after each atom.
Space group Cmcm (No. 63)
One atom of each set of equivalent atoms:
1 Er 0.0000 0.0172 0.2500 x4  1 Mg 3.09, 2 Sc 3.44
2 Er 0.0000 0.1486 0.0367 x8  3 Sc 3.33-3.37, 8 Er 3.45-3.58
3 Er 0.0000 0.4477 0.0964 x8  1 Mg 3.04, 1 Sc 3.37, 1 Er 3.40
4 Mg 0.0000 0.2975 0.2500 x4  3 Er 3.04-3.09, 4 Sc 3.05
5 Sc 0.0000 0.2584 0.6526 x8  2 Mg 3.05, 1 Sc 3.23, 4 Er 3.33-3.37

Properties
DFT formation energy = 0.10 eV per atom


Ga3HgC after structural relaxation. Source: Alexandria via LeMat-Bulk, functional GGA-PBE.

Cell lengths 5.1882, 5.1882, 5.1882 Å; angles 90.00, 90.00, 90.00 degrees
With the nearest neighbours (Å) after each atom.
Space group Pm-3m (No. 221)
One atom of each set of equivalent atoms:
1 Ga 0.0000 0.0000 0.5000 x3  2 Hg 2.59
2 Hg 0.0000 0.0000 0.0000 x1  6 Ga 2.59
3 C 0.5000 0.5000 0.5000 x1  12 Ga 3.67

Properties
DFT formation energy = 1.70 eV per atom
Excess energy over the best structure of this formula in the dataset = 501 kJ/mol of formula units


AcLa4Pr3 after structural relaxation. Source: Alexandria via LeMat-Bulk, functional GGA-PBE.

Cell lengths 12.1837, 7.6050, 6.5547 Å; angles 90.00, 90.00, 90.00 degrees
With the nearest neighbours (Å) after each atom.
Space group Pmn2_1 (No. 31)
One atom of each set of equivalent atoms:
1 Ac 0.0000 0.1252 0.0000 x2  6 La 3.76-3.86, 6 Pr 3.76-3.81
2 La 0.0000 0.3799 0.4908 x2  6 La 3.71-3.78, 4 Pr 3.74-3.86, 2 Ac 3.76-3.86
3 La 0.0000 0.6208 0.9960 x2  6 La 3.70-3.78, 4 Pr 3.75-3.81, 2 Ac 3.77-3.84
4 La 0.2468 0.6223 0.6673 x4  6 La 3.70-3.77, 5 Pr 3.72-3.86, 1 Ac 3.80
5 Pr 0.0000 0.8721 0.4984 x2  6 La 3.72-3.86, 4 Pr 3.77-3.78, 2 Ac 3.79-3.81
6 Pr 0.2495 0.1294 0.6589 x4  6 La 3.73-3.86, 2 Ac 3.76-3.77, 4 Pr 3.77-3.82

Properties
DFT formation energy = 0.04 eV per atom
Excess energy over the best structure of this formula in the dataset = 18 kJ/mol of formula units


Cs4InI5 after structural relaxation. Source: Alexandria via LeMat-Bulk, functional GGA-PBE.

Cell lengths 12.1397, 12.1397, 7.7811 Å; angles 90.00, 90.00, 90.00 degrees
With the nearest neighbours (Å) after each atom.
Space group I4 (No. 79)
One atom of each set of equivalent atoms:
1 Cs 0.0975 0.2990 0.0000 x8  6 I 3.85-4.01
2 In 0.0000 0.0000 0.4862 x2  5 I 3.27-3.65
3 I 0.0000 0.0000 0.0661 x2  1 In 3.27
4 I 0.0940 0.2853 0.5000 x8  1 In 3.65, 5 Cs 3.85-4.01

Properties
Energy relative to the elements, uncorrected = -1.3250 eV/atom


BaScFe2 after structural relaxation. Source: Alexandria via LeMat-Bulk, functional GGA-PBE.

Cell lengths 4.9761, 4.9761, 3.4351 Å; angles 90.00, 90.00, 90.00 degrees
With the nearest neighbours (Å) after each atom.
Space group P4/mmm (No. 123)
One atom of each set of equivalent atoms:
1 Ba 0.0000 0.0000 0.0000 x1  8 Fe 3.02
2 Sc 0.5000 0.5000 0.0000 x1  8 Fe 3.02
3 Fe 0.0000 0.5000 0.5000 x2  4 Ba 3.02, 4 Sc 3.02

Properties
DFT formation energy = 0.70 eV per atom
Excess energy over the best structure of this formula in the dataset = 178 kJ/mol of formula units


Ac2LaNd5Tm after structural relaxation. Source: Alexandria via LeMat-Bulk, functional GGA-PBE.

Cell lengths 5.8819, 20.7116, 11.0018 Å; angles 90.00, 90.00, 90.00 degrees
With the nearest neighbours (Å) after each atom.
Space group Cmc2_1 (No. 36)
One atom of each set of equivalent atoms:
1 Ac 0.0000 0.1148 0.0000 x4  9 Nd 3.60-3.98, 1 Tm 3.60, 2 La 3.95
2 Ac 0.0000 0.1164 0.5856 x4  8 Nd 3.42-3.71
3 La 0.0000 0.4113 0.7348 x4  5 Nd 3.16-3.42
4 Nd 0.0000 0.0183 0.2901 x4  2 La 3.34, 2 Ac 3.58-3.60
5 Nd 0.0000 0.2813 0.5843 x4  1 La 3.16, 1 Ac 3.42
6 Nd 0.0000 0.2944 0.9749 x4  3 Nd 3.54-3.91, 1 La 3.58, 3 Tm 3.64-3.82, 3 Ac 3.68-3.73
7 Nd 0.0000 0.3837 0.2878 x4  6 Nd 3.67-4.05, 4 Ac 3.69-3.76, 1 Tm 3.69
8 Nd 0.0000 0.4854 0.0123 x4  2 La 3.25-3.42
9 Tm 0.0000 0.2056 0.2795 x4  2 Ac 3.60-3.84, 8 Nd 3.64-3.88, 2 La 3.84

Properties
DFT formation energy = 0.13 eV per atom


Table of calculated total energy (eV for the cell shown), in record order: -23.0 -25.0 -145.2 -10.1 -75.7 -54.3 -22.4 -161.0
Table of total moment (μB/f.u.), in record order: 0.0 0.5 0.0 2.1 0.0 0.0 3.9 0.0